# 1
Compound: Al2CuAu
Source: Alexandria via LeMat-Bulk
Functional: PBE
Structure: relaxed

Lattice parameters (Å, degrees): 3.245 3.620 5.270 90.00 90.00 90.00
Atoms (fractional coordinates):
Au  0.000  0.000  0.481
Al  0.000  0.000  0.974
Al  0.500  0.500  0.264
Cu  0.500  0.500  0.781

Properties
- Final energy: -15.871 eV/f.u.
- Space-group type: No. 25
- Magnetic moment: 0.00 Bohr magnetons per cell

# 2
Compound: AlCuAu
Source: Alexandria via LeMat-Bulk
Functional: PBE
Structure: relaxed

Lattice parameters (Å, degrees): 4.231 4.231 4.231 60.00 60.00 60.00
Atoms (fractional coordinates):
Au  0.750  0.750  0.750
Al  0.500  0.500  0.500
Cu  0.000  0.000  0.000

Properties
- Final energy: -11.500 eV/f.u.
- Space-group type: No. 216
- Offset from the most stable computed form: 159.8 meV/atom
- Magnetic moment: 0.00 Bohr magnetons per cell

# 3
Compound: Al3Cu2Au8
Source: Alexandria via LeMat-Bulk
Functional: PBE
Structure: relaxed

Lattice parameters (Å, degrees): 4.427 7.928 7.686 121.07 90.00 90.00
Atoms (fractional coordinates):
Al  0.500  0.000  0.000
Al  0.000  0.295  0.000
Al  0.000  0.705  0.000
Cu  0.500  0.233  0.465
Cu  0.500  0.767  0.535
Au  0.000  0.657  0.314
Au  0.000  0.343  0.686
Au  0.000  0.118  0.236
Au  0.000  0.882  0.764
Au  0.500  0.609  0.769
Au  0.500  0.159  0.769
Au  0.500  0.841  0.231
Au  0.500  0.391  0.231

Properties
- Final energy: -47.866 eV/f.u.
- Space-group type: No. 65
- Magnetic moment: 0.00 Bohr magnetons per cell

# 4
Compound: Al2Cu8Au
Source: Alexandria via LeMat-Bulk
Functional: PBE
Structure: relaxed

Lattice parameters (Å, degrees): 3.738 5.958 6.973 73.94 74.45 90.00
Atoms (fractional coordinates):
Al  0.276  0.349  0.417
Al  0.723  0.651  0.523
Cu  0.906  0.538  0.156
Cu  0.182  0.911  0.604
Cu  0.356  0.803  0.256
Cu  0.454  0.281  0.060
Cu  0.643  0.198  0.683
Cu  0.817  0.090  0.335
Cu  0.093  0.462  0.783
Cu  0.545  0.719  0.879
Au  0.000  0.000  0.970

Properties
- Final energy: -44.875 eV/f.u.
- Space-group type: No. 12
- Offset from the most stable computed form: 0.0 meV/atom
- Magnetic moment: 0.00 Bohr magnetons per cell

# 5
Compound: AlCu4Au3
Source: Alexandria via LeMat-Bulk
Functional: PBE
Structure: relaxed

Lattice parameters (Å, degrees): 3.213 3.213 11.334 90.00 90.00 90.00
Atoms (fractional coordinates):
Au  0.500  0.500  0.241
Au  0.500  0.500  0.500
Au  0.500  0.500  0.759
Al  0.500  0.500  0.000
Cu  0.000  0.000  0.888
Cu  0.000  0.000  0.112
Cu  0.000  0.000  0.371
Cu  0.000  0.000  0.629

Properties
- Final energy: -30.878 eV/f.u.
- Space-group type: No. 123
- Offset from the most stable computed form: 20.0 meV/atom
- Magnetic moment: 0.00 Bohr magnetons per cell

# 6
Compound: Al3Cu2Au5
Source: Alexandria via LeMat-Bulk
Functional: PBE
Structure: relaxed

Lattice parameters (Å, degrees): 5.713 7.744 7.744 106.46 92.99 92.99
Atoms (fractional coordinates):
Al  0.596  0.500  0.780
Al  0.096  0.780  0.500
Al  0.404  0.500  0.220
Al  0.904  0.220  0.500
Al  0.250  0.042  0.958
Al  0.750  0.958  0.042
Cu  0.854  0.614  0.132
Cu  0.354  0.132  0.614
Cu  0.146  0.386  0.868
Cu  0.646  0.868  0.386
Au  0.594  0.271  0.954
Au  0.094  0.954  0.271
Au  0.406  0.729  0.046
Au  0.906  0.046  0.729
Au  0.983  0.703  0.828
Au  0.017  0.297  0.172
Au  0.750  0.540  0.460
Au  0.250  0.460  0.540
Au  0.517  0.172  0.297
Au  0.483  0.828  0.703

Properties
- Final energy: -37.938 eV/f.u.
- Space-group type: No. 15
- Magnetic moment: 0.00 Bohr magnetons per cell

# 7
Compound: Al4CuAu
Source: Alexandria via LeMat-Bulk
Functional: PBE
Structure: relaxed

Lattice parameters (Å, degrees): 5.237 5.237 5.237 60.00 60.00 60.00
Atoms (fractional coordinates):
Al  0.877  0.374  0.374
Al  0.374  0.374  0.877
Al  0.374  0.877  0.374
Al  0.374  0.374  0.374
Cu  0.000  0.000  0.000
Au  0.750  0.750  0.750

Properties
- Final energy: -21.079 eV/f.u.
- Space-group type: No. 216
- Offset from the most stable computed form: 508.1 meV/atom
- Magnetic moment: 0.00 Bohr magnetons per cell

# 8
Compound: Al2CuAu4
Source: Alexandria via LeMat-Bulk
Functional: PBE
Structure: relaxed

Lattice parameters (Å, degrees): 4.827 4.827 7.193 70.39 70.39 90.00
Atoms (fractional coordinates):
Au  0.203  0.203  0.594
Au  0.797  0.797  0.406
Au  0.000  0.500  0.000
Au  0.500  0.000  0.000
Al  0.393  0.393  0.215
Al  0.607  0.607  0.785
Cu  0.000  0.000  0.000

Properties
- Final energy: -23.778 eV/f.u.
- Space-group type: No. 139
- Offset from the most stable computed form: 418.5 meV/atom
- Magnetic moment: 0.00 Bohr magnetons per cell

# 9
Compound: AlCuAu2
Source: Alexandria via LeMat-Bulk
Functional: PBE
Structure: relaxed

Lattice parameters (Å, degrees): 8.623 8.623 8.623 19.91 19.91 19.91
Atoms (fractional coordinates):
Au  0.007  0.007  0.007
Au  0.244  0.244  0.244
Al  0.755  0.755  0.755
Cu  0.494  0.494  0.494

Properties
- Final energy: -14.748 eV/f.u.
- Space-group type: No. 160
- Magnetic moment: 0.00 Bohr magnetons per cell

# 10
Compound: Al2CuAu
Source: Alexandria via LeMat-Bulk
Functional: PBE
Structure: relaxed

Lattice parameters (Å, degrees): 7.161 7.161 5.723 51.28 51.28 90.00
Atoms (fractional coordinates):
Au  0.000  0.000  0.000
Au  0.750  0.250  0.500
Al  0.616  0.125  0.250
Al  0.134  0.625  0.250
Al  0.375  0.384  0.750
Al  0.875  0.866  0.750
Cu  0.500  0.500  0.000
Cu  0.250  0.750  0.500

Properties
- Final energy: -14.619 eV/f.u.
- Space-group type: No. 122
- Magnetic moment: 0.00 Bohr magnetons per cell

# 11
Compound: AlCuAu2
Source: Alexandria via LeMat-Bulk
Functional: PBE
Structure: relaxed

Lattice parameters (Å, degrees): 8.279 8.279 8.279 21.31 21.31 21.31
Atoms (fractional coordinates):
Au  0.002  0.002  0.002
Au  0.498  0.498  0.498
Al  0.750  0.750  0.750
Cu  0.250  0.250  0.250

Properties
- Final energy: -14.831 eV/f.u.
- Space-group type: No. 166
- Magnetic moment: 0.00 Bohr magnetons per cell

# 12
Compound: AlCu5Au4
Source: Alexandria via LeMat-Bulk
Functional: PBE
Structure: relaxed

Lattice parameters (Å, degrees): 4.558 8.691 7.789 90.00 90.00 90.00
Atoms (fractional coordinates):
Al  0.708  0.000  0.000
Al  0.292  0.500  0.500
Cu  0.267  0.760  0.663
Cu  0.267  0.240  0.663
Cu  0.570  0.500  0.000
Cu  0.267  0.760  0.337
Cu  0.267  0.240  0.337
Cu  0.733  0.740  0.163
Cu  0.733  0.260  0.163
Cu  0.430  0.000  0.500
Cu  0.733  0.260  0.837
Cu  0.733  0.740  0.837
Au  0.919  0.000  0.688
Au  0.239  0.819  0.000
Au  0.239  0.181  0.000
Au  0.919  0.000  0.312
Au  0.081  0.500  0.188
Au  0.761  0.681  0.500
Au  0.761  0.319  0.500
Au  0.081  0.500  0.812

Properties
- Final energy: -37.855 eV/f.u.
- Space-group type: No. 59
- Offset from the most stable computed form: 66.0 meV/atom
- Magnetic moment: 0.00 Bohr magnetons per cell

Number 1: ΔH_f (0 K) -0.253 eV/atom. Number 2: ΔH_f (0 K) -0.128 eV/atom. Number 3: ΔH_f (0 K) -0.171 eV/atom. Number 4: ΔH_f (0 K) -0.122 eV/atom. Number 5: ΔH_f (0 K) -0.115 eV/atom. Number 6: ΔH_f (0 K) -0.213 eV/atom. Number 7: ΔH_f (0 K) 0.211 eV/atom. Number 8: ΔH_f (0 K) 0.130 eV/atom. Number 9: ΔH_f (0 K) -0.089 eV/atom. Number 10: ΔH_f (0 K) 0.060 eV/atom. Number 11: ΔH_f (0 K) -0.109 eV/atom. Number 12: ΔH_f (0 K) -0.052 eV/atom.